# 1
DFT (PBE) results for a relaxed structure of Tl2InSiF6.

a b c (Å): 6.9104 6.9104 10.5066
angles (deg): 70.80 70.80 60.00
Last column: nearest neighbours and their distance in Å.
Sites, in units of the cell vectors:
Tl  0.8663  0.8663  0.4012  12 F 3.21-3.50, 1 Tl 3.47
Tl  0.1337  0.1337  0.5988  12 F 3.21-3.50, 1 Tl 3.47
Tl  0.7474  0.7474  0.7579  3 F 2.99
Tl  0.2526  0.2526  0.2421  3 F 2.99
In  0.6299  0.6299  0.1104  3 F 2.60
In  0.3701  0.3701  0.8896  3 F 2.60
Si  0.0000  0.0000  0.0000  6 F 1.72
Si  0.5000  0.5000  0.5000  6 F 1.73
F  0.7700  0.4162  0.3975  1 Si 1.73
F  0.4162  0.7700  0.3975  1 Si 1.73
F  0.4162  0.4162  0.3975  1 Si 1.73
F  0.2300  0.5838  0.6025  1 Si 1.73
F  0.5838  0.2300  0.6025  1 Si 1.73
F  0.5838  0.5838  0.6025  1 Si 1.73
F  0.8019  0.1511  0.8960  1 Si 1.72
F  0.1511  0.8019  0.8960  1 Si 1.72
F  0.1511  0.1511  0.8960  1 Si 1.72
F  0.1981  0.8489  0.1040  1 Si 1.72
F  0.8489  0.1981  0.1040  1 Si 1.72
F  0.8489  0.8489  0.1040  1 Si 1.72

## Properties
Total DFT energy (no corrections)   -4.618 eV/atom
Size of the total moment   0.73 μB/f.u.
Formation energy without anion corrections   -2.2056 eV per atom
SG   R-3m, No. 166

=====

# 2
DFT (PBE) results for a relaxed structure of Ti6In3Co.

a b c (Å): 7.0505 5.8334 5.8334
angles (deg): 60.98 74.87 74.87
Last column: nearest neighbours and their distance in Å.
Sites, in units of the cell vectors:
Ti  0.3758  0.1220  0.6468  1 Co 2.27
Ti  0.6242  0.3532  0.8780  1 Co 2.27
Ti  0.6242  0.8780  0.3532  1 Co 2.27
Ti  0.3758  0.6468  0.1220  1 Co 2.27
Ti  0.1940  0.6863  0.6863  1 Co 2.39
Ti  0.8060  0.3137  0.3137  1 Co 2.39
In  0.2435  0.1856  0.1856  1 In 2.89, 9 Ti 2.90-3.21
In  0.7565  0.8144  0.8144  1 In 2.89, 9 Ti 2.90-3.21
In  0.0000  0.0000  0.0000  2 In 2.89, 6 Ti 2.91-3.03
Co  0.5000  0.5000  0.5000  6 Ti 2.27-2.39

## Properties
DFT formation energy   11.8 kJ/mol of atoms
Total DFT energy (no corrections)   -6.147 eV/atom
Size of the total moment   0.00 μB/f.u.
SG   C2/m, No. 12

=====

# 3
DFT (PBE) results for a relaxed structure of Ho2GaCo5B2.

a b c (Å): 3.0407 8.9951 8.9951
angles (deg): 90.00 90.00 90.00
Last column: nearest neighbours and their distance in Å.
Sites, in units of the cell vectors:
Ho  0.0000  0.6777  0.1777  3 B 2.60-2.72, 10 Co 2.72-2.82
Ho  0.0000  0.3223  0.8223  3 B 2.60-2.72, 10 Co 2.72-2.82
Ho  0.0000  0.1777  0.3223  3 B 2.60-2.72, 10 Co 2.72-2.82
Ho  0.0000  0.8223  0.6777  3 B 2.60-2.72, 10 Co 2.72-2.82
Ga  0.0000  0.0000  0.0000  8 Co 2.62
Ga  0.0000  0.5000  0.5000  8 Co 2.62
Co  0.5000  0.2274  0.0682  2 B 2.11
Co  0.5000  0.7726  0.9318  2 B 2.11
Co  0.5000  0.0682  0.7726  2 B 2.11
Co  0.5000  0.7274  0.4318  2 B 2.11
Co  0.5000  0.9318  0.2274  2 B 2.11
Co  0.5000  0.2726  0.5682  2 B 2.11
Co  0.5000  0.5682  0.7274  2 B 2.11
Co  0.5000  0.4318  0.2726  2 B 2.11
Co  0.5000  0.5000  0.0000  4 B 2.14
Co  0.5000  0.0000  0.5000  4 B 2.14
B  0.0000  0.1182  0.6182  6 Co 2.11-2.14
B  0.0000  0.8818  0.3818  6 Co 2.11-2.14
B  0.0000  0.6182  0.8818  6 Co 2.11-2.14
B  0.0000  0.3818  0.1182  6 Co 2.11-2.14

## Properties
DFT formation energy   -39.9 kJ/mol of atoms
Total DFT energy (no corrections)   -6.520 eV/atom
Size of the total moment   0.00 μB/f.u.
SG   P4/mbm, No. 127

=====

# 4
DFT (PBE) results for a relaxed structure of SrLa3Ir.

a b c (Å): 9.4378 9.7004 3.9905
angles (deg): 90.00 90.00 101.56
Last column: nearest neighbours and their distance in Å.
Sites, in units of the cell vectors:
Sr  0.1332  0.6604  0.5377  2 Ir 3.38, 2 La 3.71-3.72
Sr  0.3519  0.4091  0.0377  8 La 3.75-4.14, 4 Sr 3.99-4.03
Ir  0.7331  0.0078  0.5375  7 La 2.91-3.13
Ir  0.8889  0.4543  0.0376  5 La 2.86-3.00
La  0.3118  0.0496  0.5375  9 La 3.76-4.17, 3 Sr 3.81-3.97, 1 Ir 4.08
La  0.5264  0.8340  0.0375  2 Ir 3.05
La  0.9229  0.9221  0.0375  2 Ir 2.91
La  0.7324  0.5728  0.5375  2 Ir 2.86
La  0.6473  0.2014  0.0375  3 Ir 2.96-3.00
La  0.9801  0.2760  0.5375  3 Ir 2.88-3.13

## Properties
DFT formation energy   -30.6 kJ/mol of atoms
Total DFT energy (no corrections)   -5.382 eV/atom
Energy above the most stable polymorph in this dataset   0.006 eV/atom
Size of the total moment   0.00 μB/f.u.
SG   Pm, No. 6

=====

# 5
DFT (PBE) results for a relaxed structure of YMo2W.

a b c (Å): 5.4603 5.4603 2.8298
angles (deg): 79.22 79.22 114.71
Last column: nearest neighbours and their distance in Å.
Sites, in units of the cell vectors:
Mo  0.0000  0.0000  0.0000  4 Mo 2.83-2.95, 2 Y 2.83, 2 W 2.83
Mo  0.5000  0.5000  0.0000  4 Mo 2.83-2.95, 2 W 2.83, 2 Y 2.83
W  0.5000  0.0000  0.5000  2 W 2.83, 4 Mo 2.83, 2 Y 2.95
Y  0.0000  0.5000  0.5000  2 Y 2.83, 4 Mo 2.83, 2 W 2.95

## Properties
DFT formation energy   44.0 kJ/mol of atoms
Total DFT energy (no corrections)   -9.814 eV/atom
Energy above the most stable polymorph in this dataset   0.187 eV/atom
Size of the total moment   0.00 μB/f.u.
SG   C2/m, No. 12

=====

# 6
DFT (PBE) results for a relaxed structure of CsRbSnAs.

a b c (Å): 4.3660 4.3660 11.7612
angles (deg): 90.15 100.55 120.00
Last column: nearest neighbours and their distance in Å.
Sites, in units of the cell vectors:
Cs  0.5133  0.6399  0.1532  3 As 3.65, 1 Sn 3.93
Rb  0.5704  0.1725  0.7429  3 Sn 3.80, 1 As 4.13
Sn  0.7396  0.7553  0.4949  3 As 2.83
As  0.3323  0.0509  0.3832  3 Sn 2.83

## Properties
DFT formation energy   -21.6 kJ/mol of atoms
Total DFT energy (no corrections)   -2.842 eV/atom
Size of the total moment   0.00 μB/f.u.
SG   Cm, No. 8